VASP calculation (PBE-GGA) on SrCuOsO6 after structural relaxation.

Summary:
Its crystal system is monoclinic. The total energy is -58.5 eV/cell. The calculated volume comes out at 127.07 Å³ per cell. Its energy relative to the elements, uncorrected is -1309.4 meV/atom.

Lattice parameters (Å, degrees): 5.202 5.511 5.241 94.18 92.21 58.00
Site moments in Bohr magnetons follow the coordinates.
Fractional coordinates of all 9 atoms:
Sr 0.056 0.972 0.000  0.01
Cu 0.673 0.663 0.500  0.34
Os 0.353 0.324 0.500  0.19
O 0.003 0.382 0.297  0.15
O 0.365 0.020 0.669  0.01
O 0.592 0.353 0.743  0.04
O 0.003 0.615 0.703  0.15
O 0.365 0.616 0.331  0.01
O 0.591 0.055 0.257  0.04